1.
VASP calculation (PBE) on a relaxed BP2Pt8 crystal. Values from VASP.

Summary:
- Fermi-level density of states: 5.54 states/eV per cell
- ΔE_f: -0.22 eV per atom
- Spin magnetization: 0.00 Bohr magnetons per cell

Structure (Quantum ESPRESSO input):
```
&SYSTEM
  ibrav = 0, nat = 11, ntyp = 3
/
ATOMIC_SPECIES
Pt 195.08 Pt.upf
P 30.97 P.upf
B 10.81 B.upf
CELL_PARAMETERS angstrom
-3.271 0.166 -0.163
-0.372 -4.976 2.401
1.551 5.431 7.379
ATOMIC_POSITIONS angstrom
Pt -1.660 1.443 1.774
P -1.946 0.185 6.227
Pt -0.257 1.826 6.994
Pt -1.836 -1.205 2.623
Pt -0.433 -0.823 7.842
Pt -1.774 1.884 4.519
P -0.147 0.436 3.389
Pt -1.810 4.256 7.632
B -1.636 0.083 -0.082
Pt -0.283 -3.635 1.984
Pt -0.318 -1.263 5.097
```

=====

2.
VASP calculation (PBE) on a relaxed LiZnF3 crystal. Values from VASP.

Summary:
- Fermi-level density of states: 0.00 states/eV per cell
- Formation energy without anion corrections: -2.330 eV/atom
- E above lowest polymorph: 230 meV per atom
- Spin magnetization: 0.00 Bohr magnetons per cell

Structure (Quantum ESPRESSO input):
```
&SYSTEM
  ibrav = 0, nat = 5, ntyp = 3
/
ATOMIC_SPECIES
F 19.00 F.upf
Li 6.94 Li.upf
Zn 65.41 Zn.upf
CELL_PARAMETERS angstrom
-0.658 3.619 1.641
-2.520 0.906 -3.009
-3.072 -1.518 2.116
ATOMIC_POSITIONS angstrom
F -1.260 0.453 -1.504
F -0.329 1.809 0.821
Li -3.125 1.503 0.374
F -1.536 -0.759 1.058
Zn 0.000 0.000 0.000
```

=====

3.
VASP calculation (PBE) on a relaxed Li6AlPb crystal. Values from VASP.

Summary:
- Fermi-level density of states: 2.93 states/eV per cell
- ΔE_f: -0.16 eV per atom
- Spin magnetization: 0.00 Bohr magnetons per cell

Structure (Quantum ESPRESSO input):
```
&SYSTEM
  ibrav = 0, nat = 8, ntyp = 3
/
ATOMIC_SPECIES
Li 6.94 Li.upf
Al 26.98 Al.upf
Pb 207.20 Pb.upf
CELL_PARAMETERS angstrom
-2.801 3.114 1.939
-4.511 -2.569 -2.391
0.889 -2.386 5.117
ATOMIC_POSITIONS angstrom
Li -0.153 -1.144 1.616
Li -5.354 -0.993 -0.646
Li -2.363 -2.496 0.595
Al 0.197 -2.409 4.155
Li -2.068 -3.763 3.057
Li -3.020 0.278 0.685
Pb -2.521 -0.897 3.292
Li -4.806 -2.166 2.029
```